No. 1
Density functional theory data (PBE-GGA) for a relaxed structure of PmYNp2As4.

Results
Formation energy: -104.3 kJ per mole of atoms

Cell: 4.121 7.180 7.185 Å, 109.26 90.00 90.00°
Each line ends with the local moment (μB).
Fractional coordinates of all 8 atoms:
As1 0.000 0.756 0.258  0.03
As2 0.500 0.752 0.745  -0.03
Np1 0.000 0.500 0.500  3.69
Pm1 0.500 0.500 0.000  0.00
Np2 0.500 0.000 0.500  -3.64
Y1 0.000 0.000 0.000  -0.01
As3 0.000 0.244 0.742  0.03
As4 0.500 0.248 0.255  -0.03

No. 2
Density functional theory data (PBE-GGA) for a relaxed structure of Co3BiH.

Results
Energy above the lowest structure with this stoichiometry: 1701.6 meV/atom

Cell: 5.002 5.002 5.002 Å, 90.00 90.00 90.00°
Each line ends with the local moment (μB).
Fractional coordinates of all 5 atoms:
Co1 0.000 0.500 0.000  2.08
H1 0.500 0.500 0.500  0.25
Co2 0.500 0.000 0.000  2.39
Bi1 0.000 0.000 0.000  0.04
Co3 0.000 0.000 0.500  1.71

No. 3
Density functional theory data (PBE-GGA) for a relaxed structure of LiBe3F.

Results
Energy relative to the elements, uncorrected: 0.197 eV/atom
Energy above the lowest structure with this stoichiometry: 0.0 meV/atom

Cell: 3.789 3.789 3.789 Å, 90.00 90.00 90.00°
Fractional coordinates of all 5 atoms:
Be1 0.500 0.000 0.000
Be2 0.000 0.500 0.000
Be3 0.000 0.000 0.500
Li1 0.500 0.500 0.500
F1 0.000 0.000 0.000

No. 4
Density functional theory data (PBE-GGA) for a relaxed structure of TbSm2Zn.

Results
Energy above the lowest structure with this stoichiometry: 138.2 meV/atom
Formation energy: -1.1 kJ per mole of atoms

Cell: 3.748 5.479 5.479 Å, 90.00 90.00 90.00°
Fractional coordinates of all 4 atoms:
Zn1 0.500 0.500 0.500
Sm1 0.000 0.500 0.000
Sm2 0.000 0.000 0.500
Tb1 0.500 0.000 0.000

no.,calculated total energy (eV/atom)
1,-8.043
2,-3.766
3,-2.796
4,-3.847